a | ! Zn2IrW, optimized geometry, DFT PBE; values from VASP
&SYSTEM
  ibrav = 0, nat = 4, ntyp = 3
/
ATOMIC_SPECIES
Ir 192.22 Ir.upf
W 183.84 W.upf
Zn 65.41 Zn.upf
CELL_PARAMETERS angstrom
-0.104 2.423 3.774
0.554 -3.739 2.416
2.857 0.335 -0.137
ATOMIC_POSITIONS angstrom
Ir 1.377 1.379 1.819
W 1.706 -1.702 1.139
Zn 0.000 0.000 0.000
Zn 0.225 -0.658 3.095
! calculated volume	58.0	Å³/cell
! total magnetization	0.0	μB per formula unit

b | ! Zn2IrW, optimized geometry, DFT PBE; values from VASP
&SYSTEM
  ibrav = 0, nat = 4, ntyp = 3
/
ATOMIC_SPECIES
Ir 192.22 Ir.upf
W 183.84 W.upf
Zn 65.41 Zn.upf
CELL_PARAMETERS angstrom
5.204 -0.001 -0.003
2.435 4.599 0.003
-3.245 -3.253 2.442
ATOMIC_POSITIONS angstrom
Ir 3.840 2.311 0.000
W 1.531 1.838 1.222
Zn 7.591 4.569 0.000
Zn 2.890 -0.477 1.220
! calculated volume	58.5	Å³/cell
! total magnetization	0.0	μB per formula unit

c | ! Zn2IrW, optimized geometry, DFT PBE; values from VASP
&SYSTEM
  ibrav = 0, nat = 4, ntyp = 3
/
ATOMIC_SPECIES
Ir 192.22 Ir.upf
W 183.84 W.upf
Zn 65.41 Zn.upf
CELL_PARAMETERS angstrom
4.428 0.000 0.000
0.000 2.762 0.021
0.000 0.448 4.884
ATOMIC_POSITIONS angstrom
Ir 2.214 0.803 1.226
W 2.214 2.408 3.679
Zn 0.000 0.683 4.883
Zn 0.000 1.370 2.454
! calculated volume	59.7	Å³/cell
! total magnetization	0.0	μB per formula unit

List of relative energies, unit meV/atom: a 213; b 35; c 0

a | ! Zn2IrW, optimized geometry, DFT PBE; values from VASP
&SYSTEM
  ibrav = 0, nat = 4, ntyp = 3
/
ATOMIC_SPECIES
Ir 192.22 Ir.upf
W 183.84 W.upf
Zn 65.41 Zn.upf
CELL_PARAMETERS angstrom
-1.755 -6.225 6.452
-0.168 -7.799 4.754
1.043 -6.149 6.675
ATOMIC_POSITIONS angstrom
Ir -0.439 -10.051 8.909
W -0.663 -15.197 13.471
Zn -0.001 -0.033 0.030
Zn -0.217 -4.978 4.413
! calculated volume	61.4	Å³/cell
! total magnetization	0.0	μB per formula unit

b | ! Zn2IrW, optimized geometry, DFT PBE; values from VASP
&SYSTEM
  ibrav = 0, nat = 4, ntyp = 3
/
ATOMIC_SPECIES
Ir 192.22 Ir.upf
W 183.84 W.upf
Zn 65.41 Zn.upf
CELL_PARAMETERS angstrom
-4.511 -0.296 1.015
-0.355 -3.693 2.775
2.831 3.650 0.359
ATOMIC_POSITIONS angstrom
Ir -2.433 -1.995 1.895
W -2.056 0.680 1.634
Zn 0.000 0.000 0.000
Zn 0.022 -1.019 2.514
! calculated volume	58.6	Å³/cell
! total magnetization	0.0	μB per formula unit

c | ! Zn2IrW, optimized geometry, DFT PBE; values from VASP
&SYSTEM
  ibrav = 0, nat = 8, ntyp = 3
/
ATOMIC_SPECIES
Zn 65.41 Zn.upf
Ir 192.22 Ir.upf
W 183.84 W.upf
CELL_PARAMETERS angstrom
-0.347 -2.355 6.620
6.987 0.584 0.574
3.047 1.542 4.446
ATOMIC_POSITIONS angstrom
Zn 1.414 -1.039 5.394
Zn 5.089 0.482 2.225
Zn 4.698 0.486 6.026
Zn 8.172 -0.386 9.635
Ir 0.000 0.000 0.000
Ir 3.010 -0.849 7.331
W 3.320 -0.885 3.597
W 6.677 0.620 4.308
! calculated volume	128.0	Å³/cell
! total magnetization	0.0	μB per formula unit

d | ! Zn2IrW, optimized geometry, DFT PBE; values from VASP
&SYSTEM
  ibrav = 0, nat = 4, ntyp = 3
/
ATOMIC_SPECIES
Ir 192.22 Ir.upf
W 183.84 W.upf
Zn 65.41 Zn.upf
CELL_PARAMETERS angstrom
2.726 0.003 0.000
-1.092 2.498 0.000
0.000 0.000 8.775
ATOMIC_POSITIONS angstrom
Ir 0.817 1.251 2.194
W 0.817 1.251 6.581
Zn 0.000 0.000 0.071
Zn 0.000 0.000 4.317
! calculated volume	59.8	Å³/cell
! total magnetization	0.0	μB per formula unit

List of relative energies, unit meV/atom: a 0; b 80; c 616; d 154

a | ! Zn2IrW, optimized geometry, DFT PBE; values from VASP
&SYSTEM
  ibrav = 0, nat = 4, ntyp = 3
/
ATOMIC_SPECIES
Ir 192.22 Ir.upf
W 183.84 W.upf
Zn 65.41 Zn.upf
CELL_PARAMETERS angstrom
-0.054 1.195 -2.488
-2.733 -0.368 -0.118
-1.069 6.877 3.326
ATOMIC_POSITIONS angstrom
Ir -1.661 2.133 -0.471
W -2.195 5.571 1.191
Zn -0.015 0.097 0.047
Zn -0.519 3.341 1.616
! calculated volume	58.8	Å³/cell
! total magnetization	0.0	μB per formula unit

b | ! Zn2IrW, optimized geometry, DFT PBE; values from VASP
&SYSTEM
  ibrav = 0, nat = 4, ntyp = 3
/
ATOMIC_SPECIES
Zn 65.41 Zn.upf
Ir 192.22 Ir.upf
W 183.84 W.upf
CELL_PARAMETERS angstrom
-0.568 -4.136 1.195
0.351 -1.120 4.181
-3.536 -1.145 2.245
ATOMIC_POSITIONS angstrom
Zn -0.938 -1.600 1.905
Zn -2.815 -4.801 5.716
Ir -1.876 -3.201 3.811
W 0.000 0.000 0.000
! calculated volume	57.9	Å³/cell
! total magnetization	1.4	μB per formula unit

c | ! Zn2IrW, optimized geometry, DFT PBE; values from VASP
&SYSTEM
  ibrav = 0, nat = 4, ntyp = 3
/
ATOMIC_SPECIES
Ir 192.22 Ir.upf
W 183.84 W.upf
Zn 65.41 Zn.upf
CELL_PARAMETERS angstrom
2.746 -0.020 0.000
-1.182 2.479 0.000
0.000 0.000 8.978
ATOMIC_POSITIONS angstrom
Ir 0.000 0.000 4.488
W 0.782 1.230 6.696
Zn 0.000 0.000 0.033
Zn 0.782 1.230 2.250
! calculated volume	60.9	Å³/cell
! total magnetization	0.0	μB per formula unit

List of relative energies, unit meV/atom: a 56; b 214; c 0

a | ! Zn2IrW, optimized geometry, DFT PBE; values from VASP
&SYSTEM
  ibrav = 0, nat = 4, ntyp = 3
/
ATOMIC_SPECIES
Ir 192.22 Ir.upf
W 183.84 W.upf
Zn 65.41 Zn.upf
CELL_PARAMETERS angstrom
2.798 0.000 0.000
0.000 4.028 0.000
0.000 0.000 5.274
ATOMIC_POSITIONS angstrom
Ir 1.399 2.014 1.318
W 1.399 2.014 3.955
Zn 0.000 0.000 0.030
Zn 0.000 0.000 2.607
! calculated volume	59.4	Å³/cell
! total magnetization	0.0	μB per formula unit

b | ! Zn2IrW, optimized geometry, DFT PBE; values from VASP
&SYSTEM
  ibrav = 0, nat = 4, ntyp = 3
/
ATOMIC_SPECIES
Ir 192.22 Ir.upf
W 183.84 W.upf
Zn 65.41 Zn.upf
CELL_PARAMETERS angstrom
8.865 -0.006 -0.004
8.420 2.772 -0.004
8.420 1.347 2.422
ATOMIC_POSITIONS angstrom
Ir 6.426 1.028 0.604
W 19.279 3.085 1.811
Zn 25.629 4.101 2.408
Zn 12.928 2.069 1.215
! calculated volume	59.7	Å³/cell
! total magnetization	0.0	μB per formula unit

c | ! Zn2IrW, optimized geometry, DFT PBE; values from VASP
&SYSTEM
  ibrav = 0, nat = 4, ntyp = 3
/
ATOMIC_SPECIES
Ir 192.22 Ir.upf
W 183.84 W.upf
Zn 65.41 Zn.upf
CELL_PARAMETERS angstrom
-2.131 -4.460 0.710
2.947 -3.944 -0.835
0.365 4.239 2.614
ATOMIC_POSITIONS angstrom
Ir 1.860 -1.953 0.858
W -0.679 -2.211 1.631
Zn 0.000 0.000 0.000
Zn 0.408 -4.202 -0.062
! calculated volume	60.0	Å³/cell
! total magnetization	0.0	μB per formula unit

List of relative energies, unit meV/atom: a 62; b 0; c 115